Arrangement 1

This record from the Alexandria database describes a relaxed structure of Pr3NdGa4. The functional is PBE.

Results
- DOS at the Fermi energy: 7.2 states/eV/cell

Lattice parameters (Å, degrees): 3.760 6.984 9.469 111.62 101.45 90.00
Atoms (fractional coordinates):
Pr (0.000, 0.500, 0.000)
Pr (0.202, 0.202, 0.404)
Pr (0.798, 0.798, 0.596)
Nd (0.500, 0.000, 0.000)
Ga (0.371, 0.560, 0.741)
Ga (0.629, 0.440, 0.259)
Ga (0.629, 0.819, 0.259)
Ga (0.371, 0.181, 0.741)

=====

Arrangement 2

This record from the Alexandria database describes a relaxed structure of Pr3NdGa4. The functional is PBE.

Results
- DOS at the Fermi energy: 4.2 states/eV/cell

Lattice parameters (Å, degrees): 3.718 3.718 14.879 90.00 90.00 90.00
Atoms (fractional coordinates):
Pr (0.500, 0.500, 0.249)
Pr (0.500, 0.500, 0.500)
Pr (0.500, 0.500, 0.751)
Nd (0.500, 0.500, 0.000)
Ga (0.000, 0.000, 0.877)
Ga (0.000, 0.000, 0.123)
Ga (0.000, 0.000, 0.374)
Ga (0.000, 0.000, 0.626)

=====

Which is less stable than every other structure shown? arrangement 1 is.